Mn3CrNi2P6O24: optimized geometry, PBE+U.

Computed properties:
Total energy = -7.0470 eV per atom

a = 8.447 Å, b = 8.447 Å, c = 8.447 Å
α = 60.70°, β = 60.70°, γ = 60.70°
Last column: magnetic moment on the atom in μB.
Fractional coordinates of all 36 atoms:
Mn: 0.142 0.142 0.142  3.62
Mn: 0.358 0.358 0.358  3.22
Mn: 0.642 0.642 0.642  3.71
Cr: 0.860 0.860 0.860  2.90
Ni: 0.000 0.000 0.000  1.82
Ni: 0.500 0.500 0.500  1.82
P: 0.457 0.750 0.043  0.02
P: 0.750 0.043 0.457  0.02
P: 0.043 0.457 0.750  0.02
P: 0.960 0.541 0.250  0.01
P: 0.250 0.960 0.541  0.01
P: 0.541 0.250 0.960  0.01
O: 0.500 0.321 0.117  0.00
O: 0.117 0.500 0.321  0.00
O: 0.253 0.908 0.065  -0.03
O: 0.321 0.117 0.500  0.00
O: 0.614 0.812 0.008  -0.03
O: 0.446 0.582 0.243  -0.04
O: 0.908 0.065 0.253  -0.03
O: 0.582 0.243 0.446  -0.04
O: 0.995 0.386 0.182  -0.03
O: 0.243 0.446 0.582  -0.04
O: 0.946 0.742 0.091  0.00
O: 0.182 0.995 0.386  -0.03
O: 0.812 0.008 0.614  -0.03
O: 0.065 0.253 0.908  -0.03
O: 0.760 0.552 0.413  -0.04
O: 0.008 0.614 0.812  -0.03
O: 0.413 0.760 0.552  -0.04
O: 0.091 0.946 0.742  0.00
O: 0.552 0.413 0.760  -0.04
O: 0.386 0.182 0.995  -0.03
O: 0.691 0.883 0.485  -0.03
O: 0.742 0.091 0.946  0.00
O: 0.883 0.485 0.691  -0.03
O: 0.485 0.691 0.883  -0.03